(1)
A relaxed CaHf2BeRh crystal. Source: Alexandria, functional PBE-GGA.

Cell: 4.8545 4.8545 4.2276 Å, 90.00 90.00 90.00°
Last column: nearest neighbours and their distance in Å.
Space group P4/mmm (No. 123)
Asymmetric unit:
1 Ca 0.0000 0.0000 0.0000 x1  8 Hf 3.22, 4 Rh 3.43
2 Hf 0.0000 0.5000 0.5000 x2  2 Be 2.43
3 Be 0.5000 0.5000 0.5000 x1  2 Rh 2.11
4 Rh 0.5000 0.5000 0.0000 x1  2 Be 2.11

As for the uncorrected energy: -31.9 eV/cell. For the formation enthalpy at 0 K, the calculation gives 0.22 eV per atom.


(2)
A relaxed Sm3ZnSi2 crystal. Source: Alexandria, functional PBE-GGA.

Cell: 11.6497 4.2445 11.7677 Å, 90.00 90.00 90.00°
Last column: nearest neighbours and their distance in Å.
Space group Pnma (No. 62)
Asymmetric unit:
1 Sm 0.0592 0.2500 0.1203 x4  1 Zn 3.00, 5 Si 3.00-3.18
2 Sm 0.1256 0.7500 0.5641 x4  5 Si 3.09-3.14, 3 Zn 3.17-3.18
3 Sm 0.1996 0.2500 0.8026 x4  2 Zn 2.95, 4 Si 3.00-3.19
4 Zn 0.1361 0.2500 0.3633 x4  3 Si 2.53-2.55
5 Si 0.0269 0.7500 0.3191 x4  2 Zn 2.53
6 Si 0.1888 0.7500 0.9931 x4  1 Zn 2.55

As for the uncorrected energy: -119.5 eV/cell. The formation energy from raw total energies is -0.60 eV per atom.


(3)
A relaxed MnV2ZnCu crystal. Source: Alexandria, functional PBE-GGA.

Cell: 4.4406 4.4406 4.1727 Å, 90.00 90.00 90.00°
Last column: nearest neighbours and their distance in Å.
Space group P4/mmm (No. 123)
Asymmetric unit:
1 Mn 0.0000 0.0000 0.0000 x1  8 V 3.05, 4 Cu 3.14
2 V 0.0000 0.5000 0.5000 x2  2 Zn 2.22
3 Zn 0.5000 0.5000 0.5000 x1  2 Cu 2.09, 4 V 2.22
4 Cu 0.5000 0.5000 0.0000 x1  2 Zn 2.09

As for the uncorrected energy: -24.9 eV/cell. For the formation enthalpy at 0 K, the calculation gives 1.57 eV per atom.


(4)
A relaxed PmGaCl6 crystal. Source: Alexandria, functional PBE-GGA.

Cell: 6.4239 12.5703 6.3937 Å, 90.00 106.32 90.00°
Last column: nearest neighbours and their distance in Å.
Space group C2/m (No. 12)
Asymmetric unit:
1 Pm 0.0000 0.0000 0.0000 x2  6 Cl 2.69-2.76
2 Ga 0.0000 0.5000 0.5000 x2  6 Cl 2.39-2.44
3 Cl 0.2159 0.3643 0.7196 x8  1 Ga 2.39
4 Cl 0.2398 0.5000 0.2642 x4  1 Ga 2.44, 1 Pm 2.69

As for the uncorrected energy: -63.1 eV/cell. The formation energy from raw total energies is -1.58 eV per atom.


uncorrected energy of number 1 (CaHf2BeRh)? -31.9 eV/cell


The highest uncorrected energy belongs to which entry? MnV2ZnCu